# Mg2TeMo, optimized geometry, DFT PBE
data_Mg2TeMo
_chemical_formula_sum 'Mg4 Te2 Mo2'
_space_group_name_H-M_alt 'I 4/m m m'
_space_group_IT_number 139
_space_group_name_Hall '-I 4 2'
_cell_length_a 4.0398
_cell_length_b 4.0398
_cell_length_c 9.5942
_cell_angle_alpha 90.00
_cell_angle_beta 90.00
_cell_angle_gamma 90.00
loop_
_atom_site_label
_atom_site_fract_x
_atom_site_fract_y
_atom_site_fract_z
_atom_site_occupancy
Mg1 0.0000 0.5000 0.2500 1
Te1 0.0000 0.0000 0.0000 1
Mo1 0.0000 0.0000 0.5000 1
# Crystal system ... tetragonal
# DFT total energy ... -4.03 eV per atom
# Size of the total moment ... 0.87 μB per formula unit


# Pm2SmCuSe5, optimized geometry, DFT PBE
data_Pm2SmCuSe5
_chemical_formula_sum 'Pm8 Sm4 Cu4 Se20'
_space_group_name_H-M_alt 'C m c 21'
_space_group_IT_number 36
_space_group_name_Hall 'C 2c -2'
_cell_length_a 4.0734
_cell_length_b 17.8963
_cell_length_c 12.1414
_cell_angle_alpha 90.00
_cell_angle_beta 90.00
_cell_angle_gamma 90.00
loop_
_atom_site_label
_atom_site_fract_x
_atom_site_fract_y
_atom_site_fract_z
_atom_site_occupancy
Pm1 0.0000 0.1074 0.0000 1
Pm2 0.0000 0.1195 0.6250 1
Sm1 0.0000 0.1936 0.3256 1
Cu1 0.0000 0.4367 0.7698 1
Se1 0.0000 0.0411 0.3774 1
Se2 0.0000 0.2894 0.9954 1
Se3 0.0000 0.3172 0.6569 1
Se4 0.0000 0.3587 0.3164 1
Se5 0.0000 0.4990 0.0948 1
# Crystal system ... orthorhombic
# DFT total energy ... -5.54 eV per atom
# Size of the total moment ... 0.00 μB per formula unit


# BaReW2, optimized geometry, DFT PBE
data_BaReW2
_chemical_formula_sum 'Ba4 Re4 W8'
_space_group_name_H-M_alt 'I 41/a m d'
_space_group_IT_number 141
_cell_length_a 5.1483
_cell_length_b 5.1483
_cell_length_c 17.3441
_cell_angle_alpha 90.00
_cell_angle_beta 90.00
_cell_angle_gamma 90.00
loop_
_space_group_symop_operation_xyz
'x,y,z'
'-x,-y,-z'
'-y+1/4,x+3/4,z+1/4'
'y+1/4,-x+3/4,-z+1/4'
'-x+1/2,-y,z+1/2'
'x+1/2,y,-z+1/2'
'y+1/4,-x+1/4,z+3/4'
'-y+1/4,x+1/4,-z+3/4'
'x,-y,-z'
'-x,y,z'
'-y+1/4,-x+1/4,-z+3/4'
'y+1/4,x+1/4,z+3/4'
'-x+1/2,y,-z+1/2'
'x+1/2,-y,z+1/2'
'y+1/4,x+3/4,-z+1/4'
'-y+1/4,-x+3/4,z+1/4'
'x+1/2,y+1/2,z+1/2'
'-x+1/2,-y+1/2,-z+1/2'
'-y+3/4,x+1/4,z+3/4'
'y+3/4,-x+1/4,-z+3/4'
'-x,-y+1/2,z'
'x,y+1/2,-z'
'y+3/4,-x+3/4,z+1/4'
'-y+3/4,x+3/4,-z+1/4'
'x+1/2,-y+1/2,-z+1/2'
'-x+1/2,y+1/2,z+1/2'
'-y+3/4,-x+3/4,-z+1/4'
'y+3/4,x+3/4,z+1/4'
'-x,y+1/2,-z'
'x,-y+1/2,z'
'y+3/4,x+1/4,-z+3/4'
'-y+3/4,-x+1/4,z+3/4'
loop_
_atom_site_label
_atom_site_fract_x
_atom_site_fract_y
_atom_site_fract_z
_atom_site_occupancy
Ba1 0.0000 0.2500 0.3750 1
Re1 0.0000 0.2500 0.8750 1
W1 0.0000 0.0000 0.0000 1
# Crystal system ... tetragonal
# Formation energy ... 1502 meV/atom
# DFT total energy ... -8.57 eV per atom
# Size of the total moment ... 0.00 μB per formula unit


# YZrV4, optimized geometry, DFT PBE
data_YZrV4
_chemical_formula_sum 'Y4 Zr4 V16'
_space_group_name_H-M_alt 'F -4 3 m'
_space_group_IT_number 216
_space_group_name_Hall 'F -4 2 3'
_cell_length_a 7.4807
_cell_length_b 7.4807
_cell_length_c 7.4807
_cell_angle_alpha 90.00
_cell_angle_beta 90.00
_cell_angle_gamma 90.00
loop_
_atom_site_label
_atom_site_fract_x
_atom_site_fract_y
_atom_site_fract_z
_atom_site_occupancy
Y1 0.0000 0.0000 0.0000 1
Zr1 0.2500 0.2500 0.2500 1
V1 0.1251 0.1251 0.6251 1
# Crystal system ... cubic
# Formation energy ... 242 meV/atom
# DFT total energy ... -8.34 eV per atom
# Size of the total moment ... 0.00 μB per formula unit


- What is the formula in the second record?
  Pm2SmCuSe5


Copy entry 3 word for word.
# BaReW2, optimized geometry, DFT PBE
data_BaReW2
_chemical_formula_sum 'Ba4 Re4 W8'
_space_group_name_H-M_alt 'I 41/a m d'
_space_group_IT_number 141
_cell_length_a 5.1483
_cell_length_b 5.1483
_cell_length_c 17.3441
_cell_angle_alpha 90.00
_cell_angle_beta 90.00
_cell_angle_gamma 90.00
loop_
_space_group_symop_operation_xyz
'x,y,z'
'-x,-y,-z'
'-y+1/4,x+3/4,z+1/4'
'y+1/4,-x+3/4,-z+1/4'
'-x+1/2,-y,z+1/2'
'x+1/2,y,-z+1/2'
'y+1/4,-x+1/4,z+3/4'
'-y+1/4,x+1/4,-z+3/4'
'x,-y,-z'
'-x,y,z'
'-y+1/4,-x+1/4,-z+3/4'
'y+1/4,x+1/4,z+3/4'
'-x+1/2,y,-z+1/2'
'x+1/2,-y,z+1/2'
'y+1/4,x+3/4,-z+1/4'
'-y+1/4,-x+3/4,z+1/4'
'x+1/2,y+1/2,z+1/2'
'-x+1/2,-y+1/2,-z+1/2'
'-y+3/4,x+1/4,z+3/4'
'y+3/4,-x+1/4,-z+3/4'
'-x,-y+1/2,z'
'x,y+1/2,-z'
'y+3/4,-x+3/4,z+1/4'
'-y+3/4,x+3/4,-z+1/4'
'x+1/2,-y+1/2,-z+1/2'
'-x+1/2,y+1/2,z+1/2'
'-y+3/4,-x+3/4,-z+1/4'
'y+3/4,x+3/4,z+1/4'
'-x,y+1/2,-z'
'x,-y+1/2,z'
'y+3/4,x+1/4,-z+3/4'
'-y+3/4,-x+1/4,z+3/4'
loop_
_atom_site_label
_atom_site_fract_x
_atom_site_fract_y
_atom_site_fract_z
_atom_site_occupancy
Ba1 0.0000 0.2500 0.3750 1
Re1 0.0000 0.2500 0.8750 1
W1 0.0000 0.0000 0.0000 1
# Crystal system ... tetragonal
# Formation energy ... 1502 meV/atom
# DFT total energy ... -8.57 eV per atom
# Size of the total moment ... 0.00 μB per formula unit


- DFT total energy of number 4 (YZrV4)?
  -8.34 eV per atom


- Which of these has the lowest DFT total energy?
  BaReW2